Record 1
VASP calculation (PBE-GGA) on crystalline In4HgPt at its relaxed geometry.

For the excess energy over the best structure of this formula in the dataset, the calculation gives 0.000 eV/atom. Its energy of formation is -1.0 eV/f.u.

Unit cell a=5.868 b=6.957 c=6.957 alpha=89.90 beta=91.59 gamma=91.59
Fractional positions:
In  0.978  0.670  0.870
Hg  0.750  0.514  0.486
Pt  0.250  0.999  0.001
In  0.989  0.129  0.671
Hg  0.250  0.486  0.514
In  0.022  0.330  0.130
In  0.489  0.671  0.129
Pt  0.750  0.001  0.999
In  0.511  0.329  0.871
In  0.011  0.871  0.329
In  0.522  0.130  0.330
In  0.478  0.870  0.670

Record 2
VASP calculation (PBE-GGA) on crystalline ZrTl2Tc at its relaxed geometry.

For the excess energy over the best structure of this formula in the dataset, the calculation gives 0.297 eV/atom. Its energy of formation is 2.1 eV/f.u.

Unit cell a=4.939 b=4.939 c=4.939 alpha=60.00 beta=60.00 gamma=60.00
Fractional positions:
Zr  0.750  0.750  0.750
Tl  0.000  0.000  0.000
Tc  0.500  0.500  0.500
Tl  0.250  0.250  0.250

Record 3
VASP calculation (PBE-GGA) on crystalline Tm5GaCo2 at its relaxed geometry.

Its energy of formation is -2.6 eV/f.u.

Unit cell a=7.379 b=7.379 c=8.376 alpha=116.13 beta=116.13 gamma=90.00
Fractional positions:
Tm  0.699  0.199  0.727
Co  0.872  0.628  0.000
Tm  0.000  0.000  0.000
Tm  0.472  0.301  0.273
Tm  0.199  0.028  0.727
Tm  0.500  0.500  0.000
Co  0.128  0.372  0.000
Ga  0.250  0.250  0.500
Co  0.628  0.128  0.000
Tm  0.972  0.472  0.273
Tm  0.301  0.801  0.273
Tm  0.801  0.972  0.273
Tm  0.528  0.699  0.727
Tm  0.028  0.528  0.727
Co  0.372  0.872  0.000
Ga  0.750  0.750  0.500

Record 4
VASP calculation (PBE-GGA) on crystalline Mg2ZrZn9 at its relaxed geometry.

Its energy of formation is -1.4 eV/f.u.

Unit cell a=5.213 b=5.213 c=8.842 alpha=72.86 beta=72.86 gamma=60.00
Fractional positions:
Mg  0.139  0.139  0.582
Zn  0.333  0.333  0.000
Zn  0.079  0.586  0.748
Zn  0.921  0.414  0.252
Zr  0.000  0.000  0.000
Mg  0.861  0.861  0.418
Zn  0.414  0.921  0.252
Zn  0.500  0.500  0.500
Zn  0.667  0.667  0.000
Zn  0.586  0.586  0.748
Zn  0.586  0.079  0.748
Zn  0.414  0.414  0.252

Record 5
VASP calculation (PBE-GGA) on crystalline Sb3PdSe6 at its relaxed geometry.

The formation energy without anion corrections is -2.1 eV per formula unit.

Unit cell a=3.989 b=14.002 c=10.099 alpha=101.87 beta=90.00 gamma=90.00
Fractional positions:
Sb  0.250  0.879  0.895
Se  0.750  0.042  0.842
Se  0.250  0.958  0.158
Sb  0.250  0.586  0.344
Se  0.250  0.906  0.562
Se  0.250  0.700  0.167
Sb  0.250  0.112  0.632
Se  0.750  0.094  0.438
Sb  0.750  0.888  0.368
Se  0.750  0.742  0.869
Pd  0.750  0.619  0.019
Se  0.750  0.473  0.126
Se  0.250  0.527  0.874
Sb  0.750  0.414  0.656
Se  0.250  0.258  0.131
Se  0.750  0.692  0.484
Se  0.250  0.308  0.516
Sb  0.750  0.121  0.105
Se  0.750  0.300  0.833
Pd  0.250  0.381  0.981

Record 6
VASP calculation (PBE-GGA) on crystalline Cu2Ir at its relaxed geometry.

For the excess energy over the best structure of this formula in the dataset, the calculation gives 0.000 eV/atom. Its energy of formation is 0.2 eV/f.u.

Unit cell a=2.716 b=4.597 c=7.204 alpha=66.49 beta=90.00 gamma=107.18
Fractional positions:
Cu  0.353  0.706  0.300
Ir  0.700  0.401  0.099
Cu  0.369  0.738  0.756
Ir  0.022  0.044  0.956
Cu  0.691  0.382  0.617
Cu  0.031  0.062  0.439

Record 7
VASP calculation (PBE-GGA) on crystalline Nb4PC2 at its relaxed geometry.

Its energy of formation is -4.5 eV/f.u.

Unit cell a=3.291 b=5.540 c=10.965 alpha=90.00 beta=90.00 gamma=107.28
Fractional positions:
Nb  0.233  0.465  0.888
Nb  0.937  0.875  0.750
C  0.135  0.270  0.063
C  0.135  0.270  0.437
Nb  0.767  0.535  0.112
C  0.865  0.730  0.563
P  0.389  0.778  0.250
Nb  0.500  0.000  0.500
Nb  0.063  0.125  0.250
P  0.611  0.222  0.750
Nb  0.500  0.000  0.000
Nb  0.767  0.535  0.388
Nb  0.233  0.465  0.612
C  0.865  0.730  0.937

Record 8
VASP calculation (PBE-GGA) on crystalline CuHgSe2 at its relaxed geometry.

The formation energy without anion corrections is -0.6 eV per formula unit.

Unit cell a=7.111 b=8.265 c=6.879 alpha=90.00 beta=90.00 gamma=90.00
Fractional positions:
Hg  0.912  0.624  0.495
Hg  0.412  0.876  0.495
Se  0.063  0.895  0.652
Se  0.937  0.105  0.152
Se  0.396  0.855  0.104
Se  0.104  0.355  0.604
Cu  0.076  0.875  0.999
Se  0.437  0.395  0.152
Hg  0.088  0.376  0.995
Cu  0.576  0.625  0.999
Se  0.563  0.605  0.652
Se  0.604  0.145  0.604
Hg  0.588  0.124  0.995
Cu  0.924  0.125  0.499
Cu  0.424  0.375  0.499
Se  0.896  0.645  0.104

Calculated Fermi-level density of states (states/eV/atom), listed in the same order as above: 0.396; 0.875; 1.054; 0.484; 0.516; 0.562; 0.493; 0.761
Calculated VASP energy (eV/cell), listed in the same order as above: -36.6; -21.5; -84.4; -24.6; -81.1; -33.8; -137.3; -47.8